No. 1
TlSiRh: single point on PBEsol structure, meta-GGA SCAN.

Unit cell a=3.1689 b=3.1689 c=6.1414 alpha=90.00 beta=90.00 gamma=120.00
Last column: nearest neighbours and their distance in Å.
Positions (direct):
Tl: 0.0000 0.0000 0.0000  3 Rh 2.90, 3 Si 3.04, 6 Tl 3.17
Si: 0.6667 0.3333 0.3954  3 Rh 2.34
Rh: 0.3333 0.6667 0.6335  3 Si 2.34

* D(E_F): 0.26 states/eV per atom
* total DFT energy (no corrections): -38.795 eV per atom


No. 2
Ba2MoP: single point on PBEsol structure, meta-GGA SCAN.

Unit cell a=4.0917 b=4.0917 c=6.9971 alpha=90.00 beta=90.00 gamma=90.00
Last column: nearest neighbours and their distance in Å.
Positions (direct):
Ba: 0.0000 0.0000 0.2275  1 Ba 3.18, 4 P 3.30, 4 Mo 3.47
Ba: 0.0000 0.0000 0.7725  1 Ba 3.18, 4 P 3.30, 4 Mo 3.47
Mo: 0.5000 0.5000 0.5000  8 Ba 3.47, 2 P 3.50
P: 0.5000 0.5000 0.0000  8 Ba 3.30, 2 Mo 3.50

* D(E_F): 0.31 states/eV per atom
* formation enthalpy at 0 K: 115.1 kJ/mol of formula units


No. 3
MoH2IrN: single point on PBEsol structure, meta-GGA SCAN.

Unit cell a=3.6838 b=3.6838 c=3.7575 alpha=90.00 beta=90.00 gamma=90.00
Last column: nearest neighbours and their distance in Å.
Positions (direct):
Mo: 0.0000 0.0000 0.0000  4 Ir 2.60, 8 H 2.63
H: 0.0000 0.5000 0.5000  2 N 1.84
H: 0.5000 0.0000 0.5000  2 N 1.84
Ir: 0.5000 0.5000 0.0000  2 N 1.88
N: 0.5000 0.5000 0.5000  4 H 1.84, 2 Ir 1.88

* D(E_F): 0.51 states/eV per atom
* total DFT energy (no corrections): -23.045 eV per atom